(1)
This record from Alexandria via LeMat-Bulk describes a PBEsol-optimized structure of CsInBi3. The functional is meta-GGA SCAN.

Structure (POSCAR):
```
CsInBi3
1.0
6.2022 0.0000 0.0000
0.0000 6.2022 0.0000
0.0000 0.0000 6.2022
Cs In Bi
1 1 3
direct
0.0000 0.0000 0.0000 Cs
0.5000 0.5000 0.5000 In
0.0000 0.0000 0.5000 Bi
0.0000 0.5000 0.0000 Bi
0.5000 0.0000 0.0000 Bi
```

Properties
Space group: No. 221
E (eV per atom): -60.059
V (Å³/cell): 238.6

(2)
This record from Alexandria via LeMat-Bulk describes a PBEsol-optimized structure of CsIn2Bi2. The functional is meta-GGA SCAN.

Structure (POSCAR):
```
CsIn2Bi2
1.0
5.1398 0.0000 0.0000
0.0000 5.1398 0.0000
0.0000 0.0000 13.8080
Cs In Bi
2 4 4
direct
0.0000 0.0000 0.0000 Cs
0.5000 0.5000 0.5000 Cs
0.0000 0.5000 0.2500 In
0.0000 0.5000 0.7500 In
0.5000 0.0000 0.2500 In
0.5000 0.0000 0.7500 In
0.0000 0.0000 0.3735 Bi
0.0000 0.0000 0.6265 Bi
0.5000 0.5000 0.1265 Bi
0.5000 0.5000 0.8735 Bi
```

Properties
Space group: No. 139
E (eV per atom): -52.662
V (Å³/cell): 364.8

(3)
This record from Alexandria via LeMat-Bulk describes a PBEsol-optimized structure of CsBi2Ir. The functional is meta-GGA SCAN.

Structure (POSCAR):
```
CsBi2Ir
1.0
8.5145 0.0000 0.0000
0.0000 8.5145 0.0000
0.0000 0.0000 7.4803
Cs Bi Ir
4 8 4
direct
0.0000 0.0000 0.0000 Cs
0.0000 0.5000 0.2500 Cs
0.5000 0.0000 0.7500 Cs
0.5000 0.5000 0.5000 Cs
0.1502 0.7500 0.6250 Bi
0.2500 0.1502 0.3750 Bi
0.2500 0.3498 0.8750 Bi
0.3498 0.7500 0.1250 Bi
0.6502 0.2500 0.1250 Bi
0.7500 0.6502 0.8750 Bi
0.7500 0.8498 0.3750 Bi
0.8498 0.2500 0.6250 Bi
0.0000 0.0000 0.5000 Ir
0.0000 0.5000 0.7500 Ir
0.5000 0.0000 0.2500 Ir
0.5000 0.5000 0.0000 Ir
```

Properties
Offset from the most stable computed form (kcal/mol of atoms): 0.00
Space group: No. 122
E (eV per atom): -66.387
V (Å³/cell): 542.3

(4)
This record from Alexandria via LeMat-Bulk describes a PBEsol-optimized structure of CsBi2Ir. The functional is meta-GGA SCAN.

Structure (POSCAR):
```
CsBi2Ir
1.0
7.4499 0.0000 0.0000
0.0000 7.4499 0.0000
0.0000 0.0000 7.4499
Cs Bi Ir
4 8 4
direct
0.0000 0.0000 0.0000 Cs
0.0000 0.5000 0.5000 Cs
0.5000 0.0000 0.5000 Cs
0.5000 0.5000 0.0000 Cs
0.2500 0.2500 0.2500 Bi
0.2500 0.2500 0.7500 Bi
0.2500 0.7500 0.2500 Bi
0.2500 0.7500 0.7500 Bi
0.7500 0.2500 0.2500 Bi
0.7500 0.2500 0.7500 Bi
0.7500 0.7500 0.2500 Bi
0.7500 0.7500 0.7500 Bi
0.0000 0.0000 0.5000 Ir
0.0000 0.5000 0.0000 Ir
0.5000 0.0000 0.0000 Ir
0.5000 0.5000 0.5000 Ir
```

Properties
Offset from the most stable computed form (kcal/mol of atoms): 13.42
Space group: No. 225
E (eV per atom): -65.805
V (Å³/cell): 413.5

(5)
This record from Alexandria via LeMat-Bulk describes a PBEsol-optimized structure of CsK3Bi. The functional is meta-GGA SCAN.

Structure (POSCAR):
```
CsK3Bi
1.0
6.6621 0.0000 0.0000
0.0000 6.6621 0.0000
0.0000 0.0000 6.6621
Cs K Bi
1 3 1
direct
0.0000 0.0000 0.0000 Cs
0.0000 0.0000 0.5000 K
0.0000 0.5000 0.0000 K
0.5000 0.0000 0.0000 K
0.5000 0.5000 0.5000 Bi
```

Properties
Space group: No. 221
E (eV per atom): -27.760
V (Å³/cell): 295.7

(6)
This record from Alexandria via LeMat-Bulk describes a PBEsol-optimized structure of Cs2KBi2. The functional is meta-GGA SCAN.

Structure (POSCAR):
```
Cs2KBi2
1.0
6.1088 0.0000 0.0000
0.0000 6.1088 0.0000
0.0000 0.0000 14.1453
Cs K Bi
4 2 4
direct
0.0000 0.0000 0.1231 Cs
0.0000 0.0000 0.8769 Cs
0.5000 0.5000 0.3769 Cs
0.5000 0.5000 0.6231 Cs
0.0000 0.0000 0.5000 K
0.5000 0.5000 0.0000 K
0.0000 0.5000 0.2500 Bi
0.0000 0.5000 0.7500 Bi
0.5000 0.0000 0.2500 Bi
0.5000 0.0000 0.7500 Bi
```

Properties
Offset from the most stable computed form (kcal/mol of atoms): 10.00
Space group: No. 139
E (eV per atom): -48.168
V (Å³/cell): 527.9

(7)
This record from Alexandria via LeMat-Bulk describes a PBEsol-optimized structure of Cs2KBi2. The functional is meta-GGA SCAN.

Structure (POSCAR):
```
Cs2KBi2
1.0
9.1197 0.0000 0.0000
0.0000 9.1197 0.0000
0.0000 0.0000 5.9572
Cs K Bi
4 2 4
direct
0.1672 0.3328 0.0000 Cs
0.3328 0.8328 0.0000 Cs
0.6672 0.1672 0.0000 Cs
0.8328 0.6672 0.0000 Cs
0.0000 0.0000 0.5000 K
0.5000 0.5000 0.5000 K
0.1152 0.6152 0.5000 Bi
0.3848 0.1152 0.5000 Bi
0.6152 0.8848 0.5000 Bi
0.8848 0.3848 0.5000 Bi
```

Properties
Offset from the most stable computed form (kcal/mol of atoms): 0.00
Space group: No. 127
E (eV per atom): -48.602
V (Å³/cell): 495.5

(8)
This record from Alexandria via LeMat-Bulk describes a PBEsol-optimized structure of CsK2Bi2. The functional is meta-GGA SCAN.

Structure (POSCAR):
```
CsK2Bi2
1.0
5.6778 0.0000 0.0000
0.0000 5.6778 0.0000
0.0000 0.0000 14.5867
Cs K Bi
2 4 4
direct
0.0000 0.0000 0.0000 Cs
0.5000 0.5000 0.5000 Cs
0.0000 0.5000 0.2500 K
0.0000 0.5000 0.7500 K
0.5000 0.0000 0.2500 K
0.5000 0.0000 0.7500 K
0.0000 0.0000 0.4005 Bi
0.0000 0.0000 0.5995 Bi
0.5000 0.5000 0.0995 Bi
0.5000 0.5000 0.9005 Bi
```

Properties
Space group: No. 139
E (eV per atom): -42.684
V (Å³/cell): 470.2

(9)
This record from Alexandria via LeMat-Bulk describes a PBEsol-optimized structure of CsK2Bi2. The functional is meta-GGA SCAN.

Structure (POSCAR):
```
CsK2Bi2
1.0
9.5571 0.0000 0.0000
0.0000 9.5571 0.0000
0.0000 0.0000 4.9318
Cs K Bi
2 4 4
direct
0.0000 0.0000 0.0000 Cs
0.5000 0.5000 0.0000 Cs
0.1674 0.3326 0.5000 K
0.3326 0.8326 0.5000 K
0.6674 0.1674 0.5000 K
0.8326 0.6674 0.5000 K
0.1101 0.6101 0.0000 Bi
0.3899 0.1101 0.0000 Bi
0.6101 0.8899 0.0000 Bi
0.8899 0.3899 0.0000 Bi
```

Properties
Space group: No. 127
E (eV per atom): -42.683
V (Å³/cell): 450.5

(10)
This record from Alexandria via LeMat-Bulk describes a PBEsol-optimized structure of CsLi2Bi2. The functional is meta-GGA SCAN.

Structure (POSCAR):
```
CsLi2Bi2
1.0
5.2376 0.0000 0.0000
0.0000 5.2376 0.0000
0.0000 0.0000 11.2685
Cs Li Bi
2 4 4
direct
0.0000 0.0000 0.0000 Cs
0.5000 0.5000 0.5000 Cs
0.0000 0.5000 0.2500 Li
0.0000 0.5000 0.7500 Li
0.5000 0.0000 0.2500 Li
0.5000 0.0000 0.7500 Li
0.0000 0.0000 0.3684 Bi
0.0000 0.0000 0.6316 Bi
0.5000 0.5000 0.1316 Bi
0.5000 0.5000 0.8684 Bi
```

Properties
Space group: No. 139
E (eV per atom): -40.373
V (Å³/cell): 309.1

(11)
This record from Alexandria via LeMat-Bulk describes a PBEsol-optimized structure of CsMg2Bi2. The functional is meta-GGA SCAN.

Structure (POSCAR):
```
CsMg2Bi2
1.0
4.9900 0.0000 0.0000
0.0000 4.9900 0.0000
0.0000 0.0000 13.5157
Cs Mg Bi
2 4 4
direct
0.0000 0.0000 0.0000 Cs
0.5000 0.5000 0.5000 Cs
0.0000 0.5000 0.2500 Mg
0.0000 0.5000 0.7500 Mg
0.5000 0.0000 0.2500 Mg
0.5000 0.0000 0.7500 Mg
0.0000 0.0000 0.3720 Bi
0.0000 0.0000 0.6280 Bi
0.5000 0.5000 0.1280 Bi
0.5000 0.5000 0.8720 Bi
```

Properties
Space group: No. 139
E (eV per atom): -41.395
V (Å³/cell): 336.5

(12)
This record from Alexandria via LeMat-Bulk describes a PBEsol-optimized structure of Cs2MgBi. The functional is meta-GGA SCAN.

Structure (POSCAR):
```
Cs2MgBi
1.0
8.9579 0.0000 0.0000
0.0000 8.9579 0.0000
0.0000 0.0000 8.9579
Cs Mg Bi
8 4 4
direct
0.2500 0.2500 0.2500 Cs
0.2500 0.2500 0.7500 Cs
0.2500 0.7500 0.2500 Cs
0.2500 0.7500 0.7500 Cs
0.7500 0.2500 0.2500 Cs
0.7500 0.2500 0.7500 Cs
0.7500 0.7500 0.2500 Cs
0.7500 0.7500 0.7500 Cs
0.0000 0.0000 0.0000 Mg
0.0000 0.5000 0.5000 Mg
0.5000 0.0000 0.5000 Mg
0.5000 0.5000 0.0000 Mg
0.0000 0.0000 0.5000 Bi
0.0000 0.5000 0.0000 Bi
0.5000 0.0000 0.0000 Bi
0.5000 0.5000 0.5000 Bi
```

Properties
Space group: No. 225
E (eV per atom): -39.763
V (Å³/cell): 718.8

(13)
This record from Alexandria via LeMat-Bulk describes a PBEsol-optimized structure of CsMgBi2Mo. The functional is meta-GGA SCAN.

Structure (POSCAR):
```
CsMgBi2Mo
1.0
5.5155 0.0000 0.0000
0.0000 5.5155 0.0000
0.0000 0.0000 5.8279
Cs Mg Bi Mo
1 1 2 1
direct
0.0000 0.0000 0.0000 Cs
0.0000 0.0000 0.5000 Mg
0.0000 0.5000 0.5000 Bi
0.5000 0.0000 0.5000 Bi
0.5000 0.5000 0.0000 Mo
```

Properties
Space group: No. 123
E (eV per atom): -45.920
V (Å³/cell): 177.3

(14)
This record from Alexandria via LeMat-Bulk describes a PBEsol-optimized structure of CsMnBi3. The functional is meta-GGA SCAN.

Structure (POSCAR):
```
CsMnBi3
1.0
5.4411 0.0000 0.0000
0.0000 5.4411 0.0000
0.0000 0.0000 5.4411
Cs Mn Bi
1 1 3
direct
0.0000 0.0000 0.0000 Cs
0.5000 0.5000 0.5000 Mn
0.0000 0.5000 0.5000 Bi
0.5000 0.0000 0.5000 Bi
0.5000 0.5000 0.0000 Bi
```

Properties
Space group: No. 221
E (eV per atom): -58.365
V (Å³/cell): 161.1

Ρ: 6.09; 7.11; 9.10; 11.94; 2.58; 4.55; 4.85; 4.44; 4.64; 6.07; 5.92; 4.61; 6.29; 8.40 (g cm⁻³)
Energy relative to the elements: 1.33; -0.31; 0.13; 0.71; 0.52; 0.05; -0.38; -0.36; -0.36; -0.42; -0.41; 0.03; 1.05; 0.00 (eV/atom)
Total magnetic moment: 0.00; 0.00; 0.00; 0.00; 0.00; 0.00; 2.05; 2.00; 0.01; 0.45; 0.00; 0.00; 4.93; 4.05 (μB/cell)